Material: LiLu2Ta
Method: DFT, GGA-PBE
State: relaxed

Values from the calculation:
- total moment (μB per formula unit) = 0.00
- final energy (eV per atom) = -5.12
- SG = R-3m (166)
- energy of formation from the pure elements (eV/atom) = 0.579

a = 3.099 Å, b = 3.099 Å, c = 11.608 Å
α = 82.33°, β = 82.33°, γ = 60.00°
Positions (direct):
Lu 0.085 0.085 0.744
Lu 0.915 0.915 0.256
Li 0.500 0.500 0.500
Ta 0.000 0.000 0.000